1.
A relaxed structure of Zn2Pd12Au5. Source: Alexandria, functional PBE-GGA.

Output
The density of states at the Fermi level comes out at 17.41 states/eV/f.u. Its total magnetic moment is 0.00 μB/f.u. The total energy is -82.25 eV/f.u. For the energy relative to the lowest polymorph listed for this composition, the calculation gives 0.030 eV per atom. Its energy of formation from the pure elements is -0.05 eV per atom.

a b c (Å): 17.451 5.565 6.918
angles (deg): 90.00 110.45 90.00
Space group C2/m (No. 12)
Asymmetric unit:
Zn 0.000 0.248 0.000 (multiplicity 4)
Pd 0.047 0.500 0.697 (multiplicity 4)
Pd 0.100 0.257 0.375 (multiplicity 8)
Pd 0.137 0.000 0.060 (multiplicity 4)
Pd 0.196 0.248 0.793 (multiplicity 8)
Au 0.000 0.000 0.500 (multiplicity 2)
Au 0.152 0.500 0.090 (multiplicity 4)
Au 0.246 0.000 0.485 (multiplicity 4)


2.
A relaxed structure of Li6Ca2Zn3. Source: Alexandria, functional PBE-GGA.

Output
The density of states at the Fermi level comes out at 6.19 states/eV/f.u. Its total magnetic moment is 0.00 μB/f.u. The total energy is -20.01 eV/f.u. Its energy of formation from the pure elements is -0.06 eV per atom.

a b c (Å): 7.9398 7.9398 4.3713
angles (deg): 90.00 90.00 120.00
Space group P-62m (No. 189)
Asymmetric unit:
Li 0.0000 0.2080 0.0000 (multiplicity 3)
Li 0.0000 0.7485 0.5000 (multiplicity 3)
Ca 0.3333 0.6667 0.0000 (multiplicity 2)
Zn 0.0000 0.4045 0.5000 (multiplicity 3)


3.
A relaxed structure of Ca2MgSb. Source: Alexandria, functional PBE-GGA.

Output
The density of states at the Fermi level comes out at 2.91 states/eV/f.u. Its total magnetic moment is 0.00 μB/f.u. The total energy is -11.64 eV/f.u. For the energy relative to the elements, uncorrected, the calculation gives -1.9 eV per formula unit. For the energy relative to the lowest polymorph listed for this composition, the calculation gives 0.094 eV per atom.

a b c (Å): 5.091 5.091 8.932
angles (deg): 90.00 90.00 90.00
Space group I4/mmm (No. 139)
Asymmetric unit:
Ca 0.000 0.500 0.250 (multiplicity 4)
Mg 0.000 0.000 0.000 (multiplicity 2)
Sb 0.000 0.000 0.500 (multiplicity 2)


4.
A relaxed structure of CoSeIN2. Source: Alexandria, functional PBE-GGA.

Output
The density of states at the Fermi level comes out at 4.85 states/eV/f.u. Its total magnetic moment is 0.38 μB/f.u. The total energy is -22.11 eV/f.u. For the energy relative to the elements, uncorrected, the calculation gives 6.7 eV per formula unit. For the energy relative to the lowest polymorph listed for this composition, the calculation gives 0.000 eV per atom.

a b c (Å): 3.740 3.740 7.870
angles (deg): 90.00 90.00 90.00
Space group P4/mmm (No. 123)
Asymmetric unit:
Co 0.000 0.000 0.000 (multiplicity 1)
Se 0.500 0.500 0.500 (multiplicity 1)
I 0.000 0.000 0.500 (multiplicity 1)
N 0.000 0.500 0.000 (multiplicity 2)


5.
A relaxed structure of CaGe2N3. Source: Alexandria, functional PBE-GGA.

Output
The density of states at the Fermi level comes out at 1.95 states/eV/f.u. Its total magnetic moment is 0.00 μB/f.u. The total energy is -37.54 eV/f.u. For the energy relative to the elements, uncorrected, the calculation gives -1.3 eV per formula unit.

a b c (Å): 10.317 6.330 5.114
angles (deg): 90.00 90.00 90.00
Space group Cmc2_1 (No. 36)
Asymmetric unit:
Ca 0.000 0.179 0.000 (multiplicity 4)
Ge 0.170 0.338 0.483 (multiplicity 8)
N 0.000 0.207 0.503 (multiplicity 4)
N 0.202 0.363 0.111 (multiplicity 8)


6.
A relaxed structure of KWCl. Source: Alexandria, functional PBE-GGA.

Output
The density of states at the Fermi level comes out at 1.81 states/eV/f.u. Its total magnetic moment is 0.00 μB/f.u. The total energy is -13.48 eV/f.u. For the energy relative to the elements, uncorrected, the calculation gives 2.4 eV per formula unit. For the energy relative to the lowest polymorph listed for this composition, the calculation gives 0.139 eV per atom.

a b c (Å): 3.002 3.002 13.902
angles (deg): 90.00 90.00 90.00
Space group I4mm (No. 107)
Asymmetric unit:
K 0.000 0.000 0.000 (multiplicity 2)
W 0.000 0.000 0.705 (multiplicity 2)
Cl 0.000 0.000 0.324 (multiplicity 2)